1.
Computed, not measured: a relaxed structure of Rh2C at the PBE level of DFT.

The structure in POSCAR format:
```
Rh2C
1.0
1.6939 -2.9340 0.0000
1.6939 2.9340 0.0000
0.0000 0.0000 7.5507
Rh C
4 2
Direct
0.0000 0.0000 0.0000
0.0000 0.0000 0.5000
0.3333 0.6667 0.7500
0.6667 0.3333 0.2500
0.3333 0.6667 0.2500
0.6667 0.3333 0.7500
```

Total magnetization, μB per formula unit: 0.000
ΔH_f (0 K), meV per atom: 704.5

=====

2.
Computed, not measured: a relaxed structure of Fe2PPb at the PBE level of DFT.

The structure in POSCAR format:
```
Fe2PPb
1.0
-1.1669 -4.2741 -5.3450
2.6288 -5.4124 -3.4632
-1.6794 3.4362 5.7941
Fe P Pb
2 1 1
Direct
0.9910 0.9910 0.0000
0.6603 0.1603 0.5000
0.5450 0.5450 0.0000
0.3037 0.8037 0.5000
```

Total magnetization, μB per formula unit: 3.119
ΔH_f (0 K), meV per atom: 81.3

=====

3.
Computed, not measured: a relaxed structure of K2NaIr at the PBE level of DFT.

The structure in POSCAR format:
```
K2NaIr
1.0
-3.2928 -1.1626 3.0943
3.1080 -2.5759 2.3396
2.5632 6.8916 8.8347
Na K Ir
2 4 2
Direct
0.5000 0.5000 0.0000
0.2500 0.7500 0.5000
0.6396 0.1250 0.2500
0.1104 0.6250 0.2500
0.3750 0.3604 0.7500
0.8750 0.8896 0.7500
0.0000 0.0000 0.0000
0.7500 0.2500 0.5000
```

Total magnetization, μB per formula unit: 0.066
ΔH_f (0 K), meV per atom: 897.5